Entry 1:
## Sr3LaCr (meta-GGA SCAN)

Data for Sr3LaCr at its PBEsol-relaxed geometry.

energy of formation from the pure elements	0.50	eV per atom
M_tot	2.155	μB/f.u.
VASP energy	-25.163	eV/atom

a = 6.008 Å, b = 6.008 Å, c = 6.008 Å
α = 90.00°, β = 90.00°, γ = 90.00°
Space group Pm-3m (No. 221)
One atom of each set of equivalent atoms:
Sr 0.000 0.000 0.500 [3 per cell]
La 0.500 0.500 0.500 [1 per cell]
Cr 0.000 0.000 0.000 [1 per cell]

Entry 2:
## SrLa2Cr (meta-GGA SCAN)

Data for SrLa2Cr at its PBEsol-relaxed geometry.

excess energy over the best structure of this formula in the dataset	133.9	meV/atom
energy of formation from the pure elements	0.36	eV per atom
M_tot	3.384	μB/f.u.
VASP energy	-31.357	eV/atom

a = 4.863 Å, b = 4.863 Å, c = 10.500 Å
α = 90.00°, β = 90.00°, γ = 90.00°
Space group I-4m2 (No. 119)
One atom of each set of equivalent atoms:
Sr 0.000 0.000 0.000 [2 per cell]
La 0.000 0.000 0.500 [2 per cell]
La 0.000 0.500 0.250 [2 per cell]
Cr 0.000 0.500 0.750 [2 per cell]

Entry 3:
## LaTa2Cr (meta-GGA SCAN)

Data for LaTa2Cr at its PBEsol-relaxed geometry.

excess energy over the best structure of this formula in the dataset	52.3	meV/atom
energy of formation from the pure elements	0.57	eV per atom
M_tot	1.828	μB/f.u.
VASP energy	-48.095	eV/atom

a = 10.902 Å, b = 3.233 Å, c = 4.712 Å
α = 90.00°, β = 114.64°, γ = 90.00°
Space group C2/m (No. 12)
One atom of each set of equivalent atoms:
La 0.000 0.000 0.000 [2 per cell]
Ta 0.232 0.000 0.730 [4 per cell]
Cr 0.000 0.500 0.500 [2 per cell]